Entry 1:
The following is a DFT calculation (PBE) of a relaxed K3Th3ZnTe8 crystal.

The density of states at the Fermi level comes out at 0.25 states/eV per atom. The formation energy from raw total energies comes out at -1.05 eV per atom.

The space group is C2/m (No. 12) and the conventional cell measures 15.679, 9.063 and 9.854 Å, with angles of 90.00, 122.02 and 90.00 degrees. Symmetry generates all atoms from K at (0.000, 0.000, 0.000), K at (0.250, 0.250, 0.000), Th at (0.000, 0.500, 0.500), Th at (0.250, 0.250, 0.500), Zn at (0.000, 0.000, 0.500), Te at (0.015, 0.244, 0.301), Te at (0.228, 0.000, 0.698) and Te at (0.240, 0.500, 0.720).

Entry 2:
The following is a DFT calculation (PBE) of a relaxed K4Th3ZrTe8 crystal.

The density of states at the Fermi level comes out at 0.68 states/eV per atom. The formation energy from raw total energies comes out at -1.12 eV per atom.

The space group is R-3m (No. 166, hexagonal axes) and the conventional cell measures 8.7987, 8.7987 and 25.5593 Å, with angles of 90.00, 90.00 and 120.00 degrees. Symmetry generates all atoms from K at (0.0000, 0.0000, 0.0000), K at (0.0000, 0.5000, 0.0000), Th at (0.0000, 0.5000, 0.5000), Zr at (0.0000, 0.0000, 0.5000), Te at (0.0000, 0.0000, 0.2415) and Te at (0.0143, 0.5071, 0.2379).

Entry 3:
The following is a DFT calculation (PBE) of a relaxed K3ThZr2Te6 crystal.

The density of states at the Fermi level comes out at 0.68 states/eV per atom. The formation energy from raw total energies comes out at -1.03 eV per atom.

The space group is C2/m (No. 12) and the conventional cell measures 7.390, 12.853 and 8.841 Å, with angles of 90.00, 106.37 and 90.00 degrees. Symmetry generates all atoms from K at (0.000, 0.000, 0.000), K at (0.000, 0.339, 0.000), Th at (0.000, 0.500, 0.500), Zr at (0.000, 0.169, 0.500), Te at (0.219, 0.000, 0.707) and Te at (0.246, 0.326, 0.711).

Entry 4:
The following is a DFT calculation (PBE) of a relaxed KTiTe3 crystal.

The density of states at the Fermi level comes out at 0.36 states/eV per atom. The formation energy from raw total energies comes out at -0.58 eV per atom.

The space group is Pnma (No. 62) and the conventional cell measures 10.383, 4.516 and 12.871 Å, with angles of 90.00, 90.00 and 90.00 degrees. Symmetry generates all atoms from K at (0.173, 0.250, 0.013), Ti at (0.031, 0.250, 0.338), Te at (0.054, 0.750, 0.202), Te at (0.089, 0.250, 0.559) and Te at (0.207, 0.750, 0.796).

Q: Which formula does entry 1 have?
A: K3Th3ZnTe8